! Sr2CdIr GGA-PBE optimized geometry; values from VASP
&SYSTEM
  ibrav = 0, nat = 4, ntyp = 3
/
ATOMIC_SPECIES
Sr 87.62 Sr.upf
Cd 112.41 Cd.upf
Ir 192.22 Ir.upf
CELL_PARAMETERS angstrom
3.7207 0.0000 0.0000
0.0000 3.7207 0.0000
0.0000 0.0000 8.1556
ATOMIC_POSITIONS crystal
Sr 0.0000 0.0000 0.2112
Sr 0.0000 0.0000 0.7888
Cd 0.5000 0.5000 0.5000
Ir 0.5000 0.5000 0.0000
! symmetry = P4/mmm
! ΔH_f (0 K) = -0.121 eV/atom

***

! BaCrSb2 GGA-PBE optimized geometry; values from VASP
&SYSTEM
  ibrav = 0, nat = 16, ntyp = 3
/
ATOMIC_SPECIES
Ba 137.33 Ba.upf
Cr 52.00 Cr.upf
Sb 121.76 Sb.upf
CELL_PARAMETERS angstrom
7.4806 0.0000 0.0000
0.0000 7.4806 0.0000
0.0000 0.0000 7.4806
ATOMIC_POSITIONS crystal
Ba 0.0000 0.0000 0.0000
Ba 0.0000 0.5000 0.5000
Ba 0.5000 0.0000 0.5000
Ba 0.5000 0.5000 0.0000
Cr 0.0000 0.0000 0.5000
Cr 0.0000 0.5000 0.0000
Cr 0.5000 0.0000 0.0000
Cr 0.5000 0.5000 0.5000
Sb 0.2500 0.2500 0.2500
Sb 0.2500 0.2500 0.7500
Sb 0.2500 0.7500 0.2500
Sb 0.2500 0.7500 0.7500
Sb 0.7500 0.2500 0.2500
Sb 0.7500 0.2500 0.7500
Sb 0.7500 0.7500 0.2500
Sb 0.7500 0.7500 0.7500
! symmetry = Fm-3m

***

! NaHfOF2 GGA-PBE optimized geometry; values from VASP
&SYSTEM
  ibrav = 0, nat = 5, ntyp = 4
/
ATOMIC_SPECIES
Na 22.99 Na.upf
Hf 178.49 Hf.upf
O 16.00 O.upf
F 19.00 F.upf
CELL_PARAMETERS angstrom
3.7335 0.0000 0.0000
0.0000 3.7335 0.0000
0.0000 0.0000 4.3039
ATOMIC_POSITIONS crystal
Na 0.0000 0.0000 0.0000
Hf 0.5000 0.5000 0.5000
O 0.0000 0.0000 0.5000
F 0.0000 0.5000 0.0000
F 0.5000 0.0000 0.0000
! symmetry = P4/mmm

***

! Pm6Pb3I GGA-PBE optimized geometry; values from VASP
&SYSTEM
  ibrav = 0, nat = 20, ntyp = 3
/
ATOMIC_SPECIES
Pm 145.00 Pm.upf
Pb 207.20 Pb.upf
I 126.90 I.upf
CELL_PARAMETERS angstrom
11.4617 0.0000 0.0000
0.0000 4.4999 0.0000
-2.5268 0.0000 13.3414
ATOMIC_POSITIONS crystal
Pm 0.0364 0.2500 0.3628
Pm 0.0603 0.2500 0.8915
Pm 0.2648 0.7500 0.3030
Pm 0.2752 0.7500 0.7474
Pm 0.3588 0.7500 0.0655
Pm 0.3764 0.2500 0.5326
Pm 0.6236 0.7500 0.4674
Pm 0.6412 0.2500 0.9345
Pm 0.7248 0.2500 0.2526
Pm 0.7352 0.2500 0.6970
Pm 0.9397 0.7500 0.1085
Pm 0.9636 0.7500 0.6372
Pb 0.1494 0.2500 0.1364
Pb 0.1749 0.7500 0.5097
Pb 0.3519 0.2500 0.9023
Pb 0.6481 0.7500 0.0977
Pb 0.8251 0.2500 0.4903
Pb 0.8506 0.7500 0.8636
I 0.4685 0.2500 0.3239
I 0.5315 0.7500 0.6761
! symmetry = P2_1/m

***

! Na2GaPt GGA-PBE optimized geometry; values from VASP
&SYSTEM
  ibrav = 0, nat = 12, ntyp = 3
/
ATOMIC_SPECIES
Na 22.99 Na.upf
Ga 69.72 Ga.upf
Pt 195.08 Pt.upf
CELL_PARAMETERS angstrom
2.9055 0.0000 0.0000
-1.4528 2.5162 0.0000
0.0000 0.0000 32.2413
ATOMIC_POSITIONS crystal
Na 0.0000 0.0000 0.0838
Na 0.0000 0.0000 0.9162
Na 0.3333 0.6667 0.5829
Na 0.3333 0.6667 0.7504
Na 0.6667 0.3333 0.2496
Na 0.6667 0.3333 0.4171
Ga 0.0000 0.0000 0.5000
Ga 0.3333 0.6667 0.1667
Ga 0.6667 0.3333 0.8333
Pt 0.0000 0.0000 0.0000
Pt 0.3333 0.6667 0.6667
Pt 0.6667 0.3333 0.3333
! symmetry = R-3m
! ΔH_f (0 K) = 0.121 eV/atom

***

! LaSnPb GGA-PBE optimized geometry; values from VASP
&SYSTEM
  ibrav = 0, nat = 3, ntyp = 3
/
ATOMIC_SPECIES
La 138.91 La.upf
Sn 118.71 Sn.upf
Pb 207.20 Pb.upf
CELL_PARAMETERS angstrom
5.2153 0.0000 0.0000
-2.6077 4.5166 0.0000
0.0000 0.0000 3.9849
ATOMIC_POSITIONS crystal
La 0.0000 0.0000 0.0000
Sn 0.3333 0.6667 0.4068
Pb 0.6667 0.3333 0.5815
! symmetry = P3m1
! ΔH_f (0 K) = -0.427 eV/atom

***

! SmHo2Ge GGA-PBE optimized geometry; values from VASP
&SYSTEM
  ibrav = 0, nat = 12, ntyp = 3
/
ATOMIC_SPECIES
Sm 150.36 Sm.upf
Ho 164.93 Ho.upf
Ge 72.64 Ge.upf
CELL_PARAMETERS angstrom
3.7441 0.0000 0.0000
-1.8721 3.2425 0.0000
0.0000 0.0000 29.2000
ATOMIC_POSITIONS crystal
Sm 0.0000 0.0000 0.0000
Sm 0.3333 0.6667 0.6667
Sm 0.6667 0.3333 0.3333
Ho 0.0000 0.0000 0.2326
Ho 0.0000 0.0000 0.4358
Ho 0.3333 0.6667 0.1025
Ho 0.3333 0.6667 0.8993
Ho 0.6667 0.3333 0.5660
Ho 0.6667 0.3333 0.7691
Ge 0.0000 0.0000 0.8345
Ge 0.3333 0.6667 0.5011
Ge 0.6667 0.3333 0.1678
! symmetry = R3m
! ΔH_f (0 K) = -0.243 eV/atom

***

! Re2TcAs GGA-PBE optimized geometry; values from VASP
&SYSTEM
  ibrav = 0, nat = 8, ntyp = 3
/
ATOMIC_SPECIES
Re 186.21 Re.upf
Tc 98.00 Tc.upf
As 74.92 As.upf
CELL_PARAMETERS angstrom
2.9732 0.0000 0.0000
0.0000 4.4542 0.0000
0.0000 0.0000 8.8552
ATOMIC_POSITIONS crystal
Re 0.0000 0.0000 0.0000
Re 0.0000 0.5000 0.2271
Re 0.5000 0.0000 0.7271
Re 0.5000 0.5000 0.5000
Tc 0.0000 0.5000 0.7773
Tc 0.5000 0.0000 0.2773
As 0.0000 0.0000 0.5005
As 0.5000 0.5000 0.0005
! symmetry = Imm2
! ΔH_f (0 K) = 0.178 eV/atom

***

! PPt2C GGA-PBE optimized geometry; values from VASP
&SYSTEM
  ibrav = 0, nat = 16, ntyp = 3
/
ATOMIC_SPECIES
P 30.97 P.upf
Pt 195.08 Pt.upf
C 12.01 C.upf
CELL_PARAMETERS angstrom
4.8581 0.0000 0.0000
0.0000 4.8581 0.0000
0.0000 0.0000 10.7649
ATOMIC_POSITIONS crystal
P 0.0000 0.0000 0.0000
P 0.0000 0.5000 0.2500
P 0.5000 0.0000 0.7500
P 0.5000 0.5000 0.5000
Pt 0.1917 0.2500 0.6250
Pt 0.2500 0.6917 0.8750
Pt 0.2500 0.8083 0.3750
Pt 0.3083 0.2500 0.1250
Pt 0.6917 0.7500 0.1250
Pt 0.7500 0.1917 0.3750
Pt 0.7500 0.3083 0.8750
Pt 0.8083 0.7500 0.6250
C 0.0000 0.0000 0.5000
C 0.0000 0.5000 0.7500
C 0.5000 0.0000 0.2500
C 0.5000 0.5000 0.0000
! symmetry = I-42d
! ΔH_f (0 K) = 0.269 eV/atom

***

! CdIrOs GGA-PBE optimized geometry; values from VASP
&SYSTEM
  ibrav = 0, nat = 6, ntyp = 3
/
ATOMIC_SPECIES
Cd 112.41 Cd.upf
Ir 192.22 Ir.upf
Os 190.23 Os.upf
CELL_PARAMETERS angstrom
2.7561 0.0000 0.0000
0.0000 3.5884 0.0000
0.0000 0.0000 10.5153
ATOMIC_POSITIONS crystal
Cd 0.0000 0.0000 0.0000
Cd 0.5000 0.5000 0.5000
Ir 0.0000 0.0000 0.6929
Ir 0.5000 0.5000 0.1929
Os 0.0000 0.0000 0.3059
Os 0.5000 0.5000 0.8059
! symmetry = Imm2
! ΔH_f (0 K) = 0.406 eV/atom

***

! Pr5ScSb4 GGA-PBE optimized geometry; values from VASP
&SYSTEM
  ibrav = 0, nat = 10, ntyp = 3
/
ATOMIC_SPECIES
Pr 140.91 Pr.upf
Sc 44.96 Sc.upf
Sb 121.76 Sb.upf
CELL_PARAMETERS angstrom
9.5605 -2.1869 0.0000
9.5605 2.1869 0.0000
-2.1975 0.0000 8.3255
ATOMIC_POSITIONS crystal
Pr 0.0000 0.0000 0.0000
Pr 0.3284 0.3284 0.1513
Pr 0.3324 0.3324 0.6758
Pr 0.6676 0.6676 0.3242
Pr 0.6716 0.6716 0.8487
Sc 0.0000 0.0000 0.5000
Sb 0.1619 0.1619 0.5828
Sb 0.4971 0.4971 0.2638
Sb 0.5029 0.5029 0.7362
Sb 0.8381 0.8381 0.4172
! symmetry = C2/m

***

! PaS2Br GGA-PBE optimized geometry; values from VASP
&SYSTEM
  ibrav = 0, nat = 12, ntyp = 3
/
ATOMIC_SPECIES
Pa 231.04 Pa.upf
S 32.06 S.upf
Br 79.90 Br.upf
CELL_PARAMETERS angstrom
4.3307 0.0000 0.0000
-2.1653 3.7505 0.0000
0.0000 0.0000 19.2312
ATOMIC_POSITIONS crystal
Pa 0.0000 0.0000 0.0000
Pa 0.3333 0.6667 0.6667
Pa 0.6667 0.3333 0.3333
S 0.0000 0.0000 0.2814
S 0.0000 0.0000 0.7186
S 0.3333 0.6667 0.3853
S 0.3333 0.6667 0.9481
S 0.6667 0.3333 0.0519
S 0.6667 0.3333 0.6147
Br 0.0000 0.0000 0.5000
Br 0.3333 0.6667 0.1667
Br 0.6667 0.3333 0.8333
! symmetry = R-3m

***

! HgAu2Br GGA-PBE optimized geometry; values from VASP
&SYSTEM
  ibrav = 0, nat = 8, ntyp = 3
/
ATOMIC_SPECIES
Hg 200.59 Hg.upf
Au 196.97 Au.upf
Br 79.90 Br.upf
CELL_PARAMETERS angstrom
5.9663 0.0000 0.0000
0.0000 9.8652 0.0000
-2.9387 0.0000 3.2301
ATOMIC_POSITIONS crystal
Hg 0.0000 0.0000 0.0000
Hg 0.5000 0.5000 0.0000
Au 0.2500 0.2500 0.0000
Au 0.2500 0.7500 0.0000
Au 0.7500 0.2500 0.0000
Au 0.7500 0.7500 0.0000
Br 0.0000 0.5000 0.0000
Br 0.5000 0.0000 0.0000
! symmetry = C2/m

***

! SrZnCd2Ir GGA-PBE optimized geometry; values from VASP
&SYSTEM
  ibrav = 0, nat = 5, ntyp = 4
/
ATOMIC_SPECIES
Sr 87.62 Sr.upf
Zn 65.41 Zn.upf
Cd 112.41 Cd.upf
Ir 192.22 Ir.upf
CELL_PARAMETERS angstrom
5.2213 0.0000 0.0000
0.0000 5.2213 0.0000
0.0000 0.0000 4.8782
ATOMIC_POSITIONS crystal
Sr 0.0000 0.0000 0.0000
Zn 0.5000 0.5000 0.0000
Cd 0.0000 0.5000 0.5000
Cd 0.5000 0.0000 0.5000
Ir 0.5000 0.5000 0.5000
! symmetry = P4/mmm
! ΔH_f (0 K) = -0.141 eV/atom

***

The records above yield calculated total energy values of -0.2503; -0.3314; -0.4103; -0.3319; -0.2062; -0.3410; -0.3576; -0.7203; -0.4711; -0.4848; -0.3987; -0.4415; -0.1400; -0.2110 Ry per atom, respectively.